Entry 1:
VASP calculation (PBE) on Sc5AsSe5 after structural relaxation.

abc: 5.473 6.673 7.690
angles: 106.75 90.00 114.21
Sites, in units of the cell vectors:
Sc1 0.162 0.325 0.332
Sc2 0.839 0.678 0.171
Sc3 0.161 0.322 0.829
As1 0.000 0.000 0.000
Se1 0.667 0.334 0.335
Se2 0.332 0.663 0.166
Sc4 0.500 0.000 0.000
Se3 0.000 0.000 0.500
Se4 0.333 0.666 0.665
Se5 0.668 0.337 0.834
Sc5 0.838 0.675 0.668

Summary:
Its uncorrected formation energy is -1.66 eV per atom. For the magnetization, the calculation gives 0.0 μB/f.u. As for the total energy: -6.543 eV/atom.

Entry 2:
VASP calculation (PBE) on ScAsSe after structural relaxation.

abc: 3.761 3.761 8.860
angles: 102.25 102.25 90.00
Sites, in units of the cell vectors:
Se1 0.811 0.811 0.622
Sc1 0.359 0.359 0.719
As1 0.000 0.500 0.000
Sc2 0.641 0.641 0.281
As2 0.500 0.000 0.000
Se2 0.189 0.189 0.378

Summary:
Its uncorrected formation energy is -1.20 eV per atom. For the magnetization, the calculation gives 0.0 μB/f.u. As for the total energy: -6.018 eV/atom.

Entry 3:
VASP calculation (PBE) on Sc6AsSe5 after structural relaxation.

abc: 6.716 6.716 6.726
angles: 99.52 99.52 120.11
Sites, in units of the cell vectors:
Sc1 0.920 0.598 0.759
Se1 0.500 0.500 0.500
Sc2 0.598 0.920 0.759
Se2 0.830 0.170 0.500
Sc3 0.758 0.758 0.241
Sc4 0.402 0.080 0.241
Sc5 0.242 0.242 0.759
Se3 0.667 0.333 0.000
As1 0.000 0.000 0.000
Se4 0.333 0.667 0.000
Se5 0.170 0.830 0.500
Sc6 0.080 0.402 0.241

Summary:
Its uncorrected formation energy is -1.59 eV per atom. For the magnetization, the calculation gives 0.0 μB/f.u. As for the total energy: -6.592 eV/atom.

Entry 4:
VASP calculation (PBE) on ScAsSe after structural relaxation.

abc: 4.584 4.584 4.584
angles: 60.00 60.00 60.00
Sites, in units of the cell vectors:
Sc1 0.500 0.500 0.500
Se1 0.250 0.250 0.250
As1 0.000 0.000 0.000

Summary:
Its uncorrected formation energy is -0.37 eV per atom. For the magnetization, the calculation gives 0.0 μB/f.u. As for the total energy: -5.191 eV/atom.

Entry 5:
VASP calculation (PBE) on Sc4As3Se after structural relaxation.

abc: 5.481 5.481 5.481
angles: 90.00 90.00 90.00
Sites, in units of the cell vectors:
Sc1 0.500 0.000 0.000
Sc2 0.000 0.500 0.000
Sc3 0.500 0.500 0.500
As1 0.000 0.500 0.500
As2 0.500 0.000 0.500
Sc4 0.000 0.000 0.500
As3 0.500 0.500 0.000
Se1 0.000 0.000 0.000

Summary:
Its uncorrected formation energy is -1.47 eV per atom. For the magnetization, the calculation gives 0.0 μB/f.u. As for the total energy: -6.811 eV/atom. The calculation puts the relative energy among the computed polymorphs at 14 meV/atom.

Entry 6:
VASP calculation (PBE) on Sc8As3Se4 after structural relaxation.

abc: 7.671 7.684 7.684
angles: 89.97 120.00 120.00
Sites, in units of the cell vectors:
Sc1 0.500 0.745 0.255
Sc2 0.000 0.749 0.251
Sc3 0.993 0.747 0.747
Se1 0.000 0.500 0.000
As1 0.500 0.000 0.500
Sc4 0.000 0.251 0.749
Se2 0.000 0.000 0.500
Se3 0.500 0.000 0.000
Sc5 0.500 0.255 0.745
Se4 0.000 0.000 0.000
As2 0.500 0.500 0.000
Sc6 0.494 0.744 0.744
Sc7 0.007 0.253 0.253
As3 0.500 0.500 0.500
Sc8 0.506 0.256 0.256

Summary:
Its uncorrected formation energy is -1.41 eV per atom. For the magnetization, the calculation gives 0.0 μB/f.u. As for the total energy: -6.650 eV/atom.

Entry 7:
VASP calculation (PBE) on Sc4As3Se after structural relaxation.

abc: 3.879 6.713 6.713
angles: 109.37 90.00 90.00
Sites, in units of the cell vectors:
Sc1 0.500 0.747 0.253
Se1 0.500 0.000 0.000
As1 0.000 0.500 0.000
Sc2 0.500 0.253 0.747
As2 0.500 0.500 0.500
As3 0.000 0.000 0.500
Sc3 0.000 0.257 0.257
Sc4 0.000 0.743 0.743

Summary:
Its uncorrected formation energy is -1.48 eV per atom. For the magnetization, the calculation gives 0.0 μB/f.u. As for the total energy: -6.825 eV/atom. The calculation puts the relative energy among the computed polymorphs at 0 meV/atom.

Entry 8:
VASP calculation (PBE) on Sc4AsSe2 after structural relaxation.

abc: 3.777 6.489 12.635
angles: 90.00 90.00 106.92
Sites, in units of the cell vectors:
Sc1 0.780 0.560 0.372
Se1 0.139 0.278 0.437
Sc2 0.500 0.000 0.500
Sc3 0.052 0.104 0.250
Sc4 0.500 0.000 0.000
Se2 0.861 0.722 0.937
Sc5 0.220 0.440 0.872
Sc6 0.780 0.560 0.128
Sc7 0.220 0.440 0.628
Se3 0.139 0.278 0.063
As1 0.397 0.794 0.250
Se4 0.861 0.722 0.563
As2 0.603 0.206 0.750
Sc8 0.948 0.896 0.750

Summary:
Its uncorrected formation energy is -1.29 eV per atom. For the magnetization, the calculation gives 0.0 μB/f.u. As for the total energy: -6.566 eV/atom.